A geometry-optimized Y3GaNi9Ge2 structure, computed with GGA-PBE.

Values from the calculation:
DFT formation energy ... -0.207 eV/atom

Cell: 5.941 5.941 8.602 Å, 90.00 90.00 120.00°
Fractional coordinates of all 15 atoms:
1 Y 0.000 0.000 0.000
2 Y 0.333 0.667 0.701
3 Y 0.667 0.333 0.299
4 Ga 0.000 0.000 0.500
5 Ni 0.000 0.500 0.000
6 Ni 0.134 0.268 0.279
7 Ni 0.134 0.866 0.279
8 Ni 0.268 0.134 0.721
9 Ni 0.500 0.000 0.000
10 Ni 0.500 0.500 0.000
11 Ni 0.732 0.866 0.279
12 Ni 0.866 0.134 0.721
13 Ni 0.866 0.732 0.721
14 Ge 0.333 0.667 0.184
15 Ge 0.667 0.333 0.816

A geometry-optimized ZnGa2Ni5Ge2 structure, computed with GGA-PBE.

Values from the calculation:
DFT formation energy ... -0.130 eV/atom

Cell: 9.324 9.324 3.091 Å, 90.00 90.00 90.00°
Fractional coordinates of all 20 atoms:
1 Zn 0.000 0.000 0.000
2 Zn 0.500 0.500 0.000
3 Ga 0.158 0.342 0.000
4 Ga 0.342 0.842 0.000
5 Ga 0.658 0.158 0.000
6 Ga 0.842 0.658 0.000
7 Ni 0.000 0.500 0.500
8 Ni 0.005 0.789 0.500
9 Ni 0.211 0.005 0.500
10 Ni 0.289 0.505 0.500
11 Ni 0.495 0.289 0.500
12 Ni 0.500 0.000 0.500
13 Ni 0.505 0.711 0.500
14 Ni 0.711 0.495 0.500
15 Ni 0.789 0.995 0.500
16 Ni 0.995 0.211 0.500
17 Ge 0.151 0.651 0.000
18 Ge 0.349 0.151 0.000
19 Ge 0.651 0.849 0.000
20 Ge 0.849 0.349 0.000

A geometry-optimized Np2Ga3Ge structure, computed with GGA-PBE.

Values from the calculation:
DFT formation energy ... -0.026 eV/atom

Cell: 2.541 4.965 8.207 Å, 90.00 90.00 90.00°
Fractional coordinates of all 6 atoms:
1 Np 0.000 0.000 0.000
2 Np 0.000 0.500 0.488
3 Ga 0.500 0.000 0.666
4 Ga 0.500 0.500 0.151
5 Ga 0.500 0.500 0.825
6 Ge 0.500 0.000 0.331

A geometry-optimized Np2Ga9Ge structure, computed with GGA-PBE.

Values from the calculation:
DFT formation energy ... -0.039 eV/atom

Cell: 4.623 4.623 10.843 Å, 90.00 90.00 90.00°
Fractional coordinates of all 12 atoms:
1 Np 0.000 0.000 0.182
2 Np 0.000 0.000 0.818
3 Ga 0.000 0.500 0.000
4 Ga 0.000 0.500 0.357
5 Ga 0.000 0.500 0.643
6 Ga 0.500 0.000 0.000
7 Ga 0.500 0.000 0.357
8 Ga 0.500 0.000 0.643
9 Ga 0.500 0.500 0.174
10 Ga 0.500 0.500 0.500
11 Ga 0.500 0.500 0.826
12 Ge 0.000 0.000 0.500

A geometry-optimized Np2GaGe structure, computed with GGA-PBE.

Values from the calculation:
DFT formation energy ... 0.071 eV/atom

Cell: 2.645 2.645 9.802 Å, 90.00 90.00 90.00°
Fractional coordinates of all 4 atoms:
1 Np 0.000 0.000 0.248
2 Np 0.000 0.000 0.752
3 Ga 0.500 0.500 0.500
4 Ge 0.500 0.500 0.000

A geometry-optimized NpGa5Ge structure, computed with GGA-PBE.

Values from the calculation:
DFT formation energy ... -0.030 eV/atom

Cell: 4.671 4.671 6.455 Å, 90.00 90.00 90.00°
Fractional coordinates of all 7 atoms:
1 Np 0.000 0.000 0.000
2 Ga 0.000 0.500 0.289
3 Ga 0.000 0.500 0.711
4 Ga 0.500 0.000 0.289
5 Ga 0.500 0.000 0.711
6 Ga 0.500 0.500 0.000
7 Ge 0.000 0.000 0.500

A geometry-optimized Np2GaGe structure, computed with GGA-PBE.

Values from the calculation:
DFT formation energy ... 0.037 eV/atom

Cell: 3.722 3.722 4.912 Å, 90.00 90.00 90.00°
Fractional coordinates of all 4 atoms:
1 Np 0.000 0.500 0.000
2 Np 0.500 0.000 0.000
3 Ga 0.000 0.000 0.500
4 Ge 0.500 0.500 0.500

A geometry-optimized NpGaGeO structure, computed with GGA-PBE.

Values from the calculation:
Formation energy from raw total energies ... -4.8 eV/f.u.

Cell: 4.048 4.048 8.665 Å, 90.00 90.00 90.00°
Fractional coordinates of all 8 atoms:
1 Np 0.250 0.250 0.133
2 Np 0.750 0.750 0.867
3 Ga 0.250 0.750 0.500
4 Ga 0.750 0.250 0.500
5 Ge 0.250 0.250 0.694
6 Ge 0.750 0.750 0.306
7 O 0.250 0.750 0.000
8 O 0.750 0.250 0.000

A geometry-optimized NpGaGeO6 structure, computed with GGA-PBE.

Values from the calculation:
Formation energy from raw total energies ... -17.5 eV/f.u.

Cell: 5.170 5.170 8.796 Å, 90.00 90.00 120.00°
Fractional coordinates of all 18 atoms:
1 Np 0.333 0.667 0.250
2 Np 0.667 0.333 0.750
3 Ga 0.333 0.667 0.750
4 Ga 0.667 0.333 0.250
5 Ge 0.000 0.000 0.000
6 Ge 0.000 0.000 0.500
7 O 0.016 0.326 0.623
8 O 0.016 0.690 0.877
9 O 0.310 0.326 0.877
10 O 0.310 0.984 0.623
11 O 0.326 0.016 0.123
12 O 0.326 0.310 0.377
13 O 0.674 0.690 0.623
14 O 0.674 0.984 0.877
15 O 0.690 0.016 0.377
16 O 0.690 0.674 0.123
17 O 0.984 0.310 0.123
18 O 0.984 0.674 0.377

A geometry-optimized NpGaGePt structure, computed with GGA-PBE.

Values from the calculation:
Excess energy over the best structure of this formula in the dataset ... 0 meV/atom
DFT formation energy ... -0.201 eV/atom

Cell: 4.728 4.728 4.728 Å, 60.00 60.00 60.00°
Fractional coordinates of all 4 atoms:
1 Np 0.000 0.000 0.000
2 Ga 0.750 0.750 0.750
3 Ge 0.250 0.250 0.250
4 Pt 0.500 0.500 0.500

A geometry-optimized Np2Ga3GePt4 structure, computed with GGA-PBE.

Values from the calculation:
DFT formation energy ... -0.575 eV/atom

Cell: 4.208 4.208 10.644 Å, 90.00 90.00 90.00°
Fractional coordinates of all 10 atoms:
1 Np 0.000 0.500 0.246
2 Np 0.500 0.000 0.754
3 Ga 0.000 0.000 0.000
4 Ga 0.000 0.500 0.634
5 Ga 0.500 0.000 0.366
6 Ge 0.500 0.500 0.000
7 Pt 0.000 0.000 0.500
8 Pt 0.000 0.500 0.866
9 Pt 0.500 0.000 0.134
10 Pt 0.500 0.500 0.500

A geometry-optimized Np2GaGe3Pt4 structure, computed with GGA-PBE.

Values from the calculation:
DFT formation energy ... -0.562 eV/atom

Cell: 4.279 4.279 10.333 Å, 90.00 90.00 90.00°
Fractional coordinates of all 10 atoms:
1 Np 0.000 0.500 0.249
2 Np 0.500 0.000 0.751
3 Ga 0.500 0.500 0.000
4 Ge 0.000 0.000 0.000
5 Ge 0.000 0.500 0.633
6 Ge 0.500 0.000 0.367
7 Pt 0.000 0.000 0.500
8 Pt 0.000 0.500 0.869
9 Pt 0.500 0.000 0.131
10 Pt 0.500 0.500 0.500